# KSrAg

A relaxed structure of KSrAg (PBE, the Alexandria database).

Geometry as extended XYZ:
```
12
Lattice="4.4316 0.0000 0.0000 -2.2158 3.8378 0.0000 0.0000 0.0000 32.4990" Properties=species:S:1:pos:R:3 pbc="T T T"
K 0.0000 2.5586 9.6472
K 0.0000 2.5586 14.1945
K 2.2158 1.2793 18.3045
K 2.2158 1.2793 22.8518
Sr 0.0000 2.5586 26.6926
Sr 0.0000 2.5586 30.7581
Sr 2.2158 1.2793 1.7409
Sr 2.2158 1.2793 5.8064
Ag 0.0000 2.5586 3.7855
Ag 0.0000 2.5586 20.5610
Ag 2.2158 1.2793 11.9380
Ag 2.2158 1.2793 28.7135
```

- energy of formation (meV per atom) = 7
- energy relative to the lowest polymorph listed for this composition (meV/atom) = 56
- DOS at the Fermi energy (states/eV per cell) = 5.86
- space-group type = P-3m1, No. 164
- final energy (eV/atom) = -1.87